1.
Below is a relaxed ScMnBe2 crystal, with properties calculated at the PBE level.

Results
ΔH_f (0 K) ... 0.0 eV per formula unit

a b c (Å): 5.891 5.891 5.891
angles (deg): 90.00 90.00 90.00
Positions (direct):
Sc: 0.000 0.000 0.000
Sc: 0.000 0.500 0.500
Sc: 0.500 0.000 0.500
Sc: 0.500 0.500 0.000
Mn: 0.000 0.000 0.500
Mn: 0.000 0.500 0.000
Mn: 0.500 0.000 0.000
Mn: 0.500 0.500 0.500
Be: 0.250 0.250 0.250
Be: 0.250 0.250 0.750
Be: 0.250 0.750 0.250
Be: 0.250 0.750 0.750
Be: 0.750 0.250 0.250
Be: 0.750 0.250 0.750
Be: 0.750 0.750 0.250
Be: 0.750 0.750 0.750

***

2.
Below is a relaxed Sc2MnBe crystal, with properties calculated at the PBE level.

Results
ΔH_f (0 K) ... 0.1 eV per formula unit

a b c (Å): 3.827 3.603 10.018
angles (deg): 90.00 90.00 90.00
Positions (direct):
Sc: 0.000 0.000 0.000
Sc: 0.000 0.500 0.500
Sc: 0.500 0.000 0.288
Sc: 0.500 0.500 0.788
Mn: 0.000 0.000 0.705
Mn: 0.000 0.500 0.205
Be: 0.500 0.000 0.585
Be: 0.500 0.500 0.085

***

3.
Below is a relaxed ScMn3Be crystal, with properties calculated at the PBE level.

Results
ΔH_f (0 K) ... 8.3 eV per formula unit

a b c (Å): 4.525 4.525 4.525
angles (deg): 90.00 90.00 90.00
Positions (direct):
Sc: 0.000 0.000 0.000
Mn: 0.000 0.000 0.500
Mn: 0.000 0.500 0.000
Mn: 0.500 0.000 0.000
Be: 0.500 0.500 0.500

***

Copy entry 2 word for word.
Below is a relaxed Sc2MnBe crystal, with properties calculated at the PBE level.

Results
ΔH_f (0 K) ... 0.1 eV per formula unit

a b c (Å): 3.827 3.603 10.018
angles (deg): 90.00 90.00 90.00
Positions (direct):
Sc: 0.000 0.000 0.000
Sc: 0.000 0.500 0.500
Sc: 0.500 0.000 0.288
Sc: 0.500 0.500 0.788
Mn: 0.000 0.000 0.705
Mn: 0.000 0.500 0.205
Be: 0.500 0.000 0.585
Be: 0.500 0.500 0.085